4
Lattice="4.122 0.000 0.000 0.000 4.301 0.000 0.000 0.000 4.815" Properties=species:S:1:pos:R:3 comment="MgFeS2 | OQMD | PBE | relaxed" e_tot_ev_per_cell=-20.54 vol_a3_per_atom=21.34 magmom_total_mub_per_cell=4.0 pbc="T T T"
Fe 0.000 0.000 4.735
S 0.000 2.151 3.623
Mg 2.061 2.151 0.091
S 2.061 0.000 1.181